# 1
Entry from the Alexandria database: crystalline NaReSe2Br at its relaxed geometry (PBE-GGA).

abc: 5.2389 5.2389 5.0375
angles: 90.00 90.00 90.00
With the nearest neighbours (Å) after each atom.
Positions (direct):
Se (0.0000, 0.5000, 0.0000)  2 Na 2.62
Se (0.5000, 0.0000, 0.0000)  2 Na 2.62
Br (0.0000, 0.0000, 0.5000)  2 Na 2.52
Na (0.0000, 0.0000, 0.0000)  2 Br 2.52, 4 Se 2.62
Re (0.5000, 0.5000, 0.5000)  8 Se 3.63, 4 Br 3.70

Calculated values
ΔE_f (raw) = 1328.7 meV/atom
crystal system = tetragonal
ΔE to the lowest computed polymorph = 1453.0 meV/atom
V = 138.3 Å³/cell
space group = P4/mmm, No. 123

---

# 2
Entry from the Alexandria database: crystalline NaReSe2Br at its relaxed geometry (PBE-GGA).

abc: 4.8177 4.8177 5.6606
angles: 90.00 90.00 90.00
With the nearest neighbours (Å) after each atom.
Positions (direct):
Br (0.0000, 0.0000, 0.5000)  2 Re 2.83
Re (0.0000, 0.0000, 0.0000)  4 Se 2.41
Se (0.5000, 0.0000, 0.0000)  2 Re 2.41
Na (0.5000, 0.5000, 0.5000)  4 Br 3.41, 8 Se 3.72
Se (0.0000, 0.5000, 0.0000)  2 Re 2.41

Calculated values
ΔE_f (raw) = -124.3 meV/atom
crystal system = tetragonal
ΔE to the lowest computed polymorph = 0.0 meV/atom
V = 131.4 Å³/cell
space group = P4/mmm, No. 123

---

# 3
Entry from the Alexandria database: crystalline Na2ReSnBr at its relaxed geometry (PBE-GGA).

abc: 5.9742 5.1313 5.9742
angles: 90.00 90.00 90.00
With the nearest neighbours (Å) after each atom.
Positions (direct):
Na (0.0000, 0.0000, 0.5000)  2 Sn 2.99
Na (0.5000, 0.0000, 0.0000)  2 Sn 2.99
Br (0.5000, 0.5000, 0.5000)  8 Na 3.94, 4 Re 4.22
Sn (0.0000, 0.0000, 0.0000)  2 Re 2.57
Re (0.0000, 0.5000, 0.0000)  2 Sn 2.57

Calculated values
ΔE_f (raw) = 667.3 meV/atom
crystal system = tetragonal
V = 183.1 Å³/cell
space group = P4/mmm, No. 123

---

# 4
Entry from the Alexandria database: crystalline Na2TlReBr8 at its relaxed geometry (PBE-GGA).

abc: 6.8344 6.5126 9.0109
angles: 89.99 90.00 94.37
With the nearest neighbours (Å) after each atom.
Positions (direct):
Na (0.5000, 0.4998, 0.7635)  6 Br 2.89-3.21
Br (0.6819, 0.7699, 0.9999)  1 Re 2.54
Br (0.1373, 0.7817, 0.1999)  1 Re 2.52
Br (0.1375, 0.7819, 0.8002)  1 Re 2.52
Tl (0.0000, 0.0000, 0.5000)  6 Br 2.89-3.23
Br (0.3284, 0.3083, 0.5000)  2 Na 2.89, 1 Tl 2.89
Br (0.8625, 0.2181, 0.1998)  1 Re 2.52
Re (0.0000, 0.0000, 0.0000)  6 Br 2.52-2.54
Br (0.8627, 0.2183, 0.8001)  1 Re 2.52
Br (0.6716, 0.6917, 0.5000)  2 Na 2.89, 1 Tl 2.89
Br (0.3181, 0.2301, 0.0001)  1 Re 2.54
Na (0.5000, 0.5002, 0.2365)  6 Br 2.89-3.21

Calculated values
ΔE_f (raw) = -739.1 meV/atom
crystal system = monoclinic
V = 399.9 Å³/cell
space group = P2/m, No. 10

---

Q: Which of these has the highest V?
A: Na2TlReBr8

---

Q: Among the records above, which one has the highest ΔE_f (raw)?
A: number 1

---

Q: Look up the ΔE_f (raw) of the fourth one.
A: -739.1 meV/atom